A plane-wave DFT calculation with PBE-GGA was carried out for AlZnP2Cl after structural relaxation.

Computed properties:
total magnetic moment	0.8	μB per formula unit
V	105	Å³ per cell
D(E_F)	4.0	states/eV/cell
mass density	3.005	g cm⁻³
DFT total energy	-15.79	eV/f.u.
uncorrected formation energy	0.38	eV/atom

a b c (Å): 4.7495 4.7495 4.6495
angles (deg): 90.00 90.00 90.00
Closest atoms and distances in Å follow each position.
Space group P4/mmm (No. 123)
Symmetry-distinct sites (fractional):
Al: 0.0000 0.0000 0.0000 (multiplicity 1)  2 Cl 2.32, 4 P 2.37
Zn: 0.5000 0.5000 0.5000 (multiplicity 1)  8 P 3.32, 4 Cl 3.36
P: 0.0000 0.5000 0.0000 (multiplicity 2)  2 Al 2.37
Cl: 0.0000 0.0000 0.5000 (multiplicity 1)  2 Al 2.32